## OsRhAu2 (PBE-GGA)

Data for a geometry-optimized OsRhAu2 structure.

abc: 9.2531 2.8213 4.9847
angles: 90.00 99.62 90.00
Last column: nearest neighbours and their distance in Å.
Space group Cm (No. 8)
Inequivalent atoms, fractional coordinates:
Os  0.0000  0.0000  0.0000 (multiplicity 2)  3 Rh 2.64-2.76, 7 Au 2.78-2.95, 2 Os 2.82
Rh  0.2637  0.0000  0.8106 (multiplicity 2)  3 Os 2.64-2.76, 5 Au 2.77-2.92, 2 Rh 2.82
Au  0.0080  0.5000  0.5224 (multiplicity 2)  5 Au 2.72-2.85, 4 Os 2.78-2.95, 3 Rh 2.87-2.92
Au  0.2514  0.5000  0.2836 (multiplicity 2)  5 Au 2.72-2.85, 4 Rh 2.77-2.97, 3 Os 2.88-2.89

Computed properties:
* excess energy over the best structure of this formula in the dataset: 17.34 kJ per mole of atoms
* DOS(E_F): 4.08 states/eV/f.u.
* uncorrected energy: -23.6 eV/f.u.
* total magnetic moment: 0.00 μB/cell
* formation energy from the elements: 38 kJ per mole of atoms